The following is a PBE calculation of a geometry-optimized DyTlOs2O8 structure, from the Alexandria database.

Uncorrected energy (Ry per atom): -0.5248
D(E_F) (states/eV/f.u.): 1.99
Formation energy without anion corrections (meV/atom): -1382
Magnetization (Bohr magnetons per cell): 4.022

a b c (Å): 6.031 6.031 7.783
angles (deg): 90.00 90.00 120.00
Sites, in units of the cell vectors:
Dy  0.000  0.000  0.000
Tl  0.000  0.000  0.500
Os  0.333  0.667  0.257
Os  0.667  0.333  0.743
O  0.163  0.339  0.178
O  0.176  0.837  0.178
O  0.333  0.667  0.485
O  0.339  0.176  0.822
O  0.661  0.824  0.178
O  0.667  0.333  0.515
O  0.824  0.163  0.822
O  0.837  0.661  0.822

---

The following is a PBE calculation of a geometry-optimized Sc3MnS6 structure, from the Alexandria database.

Uncorrected energy (Ry per atom): -0.4986
D(E_F) (states/eV/f.u.): 4.15
Formation energy without anion corrections (meV/atom): -1491
Magnetization (Bohr magnetons per cell): 4.000

a b c (Å): 6.870 6.870 6.870
angles (deg): 55.22 55.22 55.22
Sites, in units of the cell vectors:
Sc  0.000  0.000  0.000
Sc  0.191  0.191  0.191
Sc  0.499  0.499  0.499
Mn  0.689  0.689  0.689
S  0.078  0.420  0.787
S  0.298  0.905  0.592
S  0.420  0.787  0.078
S  0.592  0.298  0.905
S  0.787  0.078  0.420
S  0.905  0.592  0.298

---

The following is a PBE calculation of a geometry-optimized Tm4Al2Tl structure, from the Alexandria database.

Uncorrected energy (Ry per atom): -0.2990
D(E_F) (states/eV/f.u.): 5.03
Distance to the lowest polymorph of the same formula (meV/atom): 84
Magnetization (Bohr magnetons per cell): 0.000

a b c (Å): 7.057 6.578 8.611
angles (deg): 90.00 111.82 90.00
Sites, in units of the cell vectors:
Tm  0.043  0.250  0.411
Tm  0.087  0.750  0.259
Tm  0.398  0.012  0.765
Tm  0.398  0.488  0.765
Tm  0.602  0.512  0.235
Tm  0.602  0.988  0.235
Tm  0.913  0.250  0.741
Tm  0.957  0.750  0.589
Al  0.217  0.750  0.965
Al  0.493  0.250  0.480
Al  0.507  0.750  0.520
Al  0.783  0.250  0.035
Tl  0.210  0.250  0.102
Tl  0.790  0.750  0.898

---

The following is a PBE calculation of a geometry-optimized LiF structure, from the Alexandria database.

Uncorrected energy (Ry per atom): -0.3527
D(E_F) (states/eV/f.u.): 0.00
Formation energy without anion corrections (meV/atom): -2906
Distance to the lowest polymorph of the same formula (meV/atom): 45
Magnetization (Bohr magnetons per cell): 0.002

a b c (Å): 3.240 9.847 4.282
angles (deg): 90.00 90.00 90.00
Sites, in units of the cell vectors:
Li  0.250  0.097  0.087
Li  0.250  0.403  0.087
Li  0.250  0.750  0.409
Li  0.750  0.250  0.591
Li  0.750  0.597  0.913
Li  0.750  0.903  0.913
F  0.250  0.250  0.354
F  0.250  0.596  0.146
F  0.250  0.904  0.146
F  0.750  0.096  0.854
F  0.750  0.404  0.854
F  0.750  0.750  0.646

---

The following is a PBE calculation of a geometry-optimized RbNaAg2Cl8 structure, from the Alexandria database.

Uncorrected energy (Ry per atom): -0.1937
D(E_F) (states/eV/f.u.): 1.12
Formation energy without anion corrections (meV/atom): -738
Magnetization (Bohr magnetons per cell): 0.000

a b c (Å): 8.320 8.320 8.320
angles (deg): 127.67 127.67 77.16
Sites, in units of the cell vectors:
Rb  0.000  0.000  0.000
Na  0.250  0.750  0.500
Ag  0.500  0.500  0.000
Ag  0.750  0.250  0.500
Cl  0.047  0.335  0.901
Cl  0.202  0.461  0.630
Cl  0.428  0.798  0.259
Cl  0.434  0.146  0.099
Cl  0.539  0.169  0.741
Cl  0.665  0.566  0.711
Cl  0.831  0.572  0.370
Cl  0.854  0.953  0.289

---

The following is a PBE calculation of a geometry-optimized Pm2Tm5Sc structure, from the Alexandria database.

Uncorrected energy (Ry per atom): -0.3482
D(E_F) (states/eV/f.u.): 11.89
Distance to the lowest polymorph of the same formula (meV/atom): 0
Magnetization (Bohr magnetons per cell): 0.000

a b c (Å): 6.053 6.053 9.922
angles (deg): 114.24 114.24 48.48
Sites, in units of the cell vectors:
Pm  0.001  0.001  0.247
Pm  0.999  0.999  0.753
Tm  0.250  0.250  0.123
Tm  0.251  0.251  0.628
Tm  0.500  0.500  0.500
Tm  0.749  0.749  0.372
Tm  0.750  0.750  0.877
Sc  0.500  0.500  0.000